Entry 1:
## TbThCo2 (PBE-GGA)

Data for a geometry-optimized TbThCo2 structure. Values from VASP.

Computed properties:
- Total magnetization: 0.00 μB per cell
- Density: 10.60 Mg/m³
- DOS at the Fermi energy: 3.53 states/eV/f.u.
- Energy above the most stable polymorph in this dataset: 112 meV per atom

The structure in Quantum ESPRESSO input format:
```
&SYSTEM
  ibrav = 0, nat = 4, ntyp = 3
/
ATOMIC_SPECIES
Th 232.04 Th.upf
Co 58.93 Co.upf
Tb 158.93 Tb.upf
ATOMIC_POSITIONS angstrom
Th -1.6805 -1.6118 -0.6663
Co 3.5711 -3.8323 0.2640
Tb 0.6321 -4.0935 -0.4953
Co 1.0540 -1.1311 0.0779
CELL_PARAMETERS angstrom
-2.2484 -1.9809 1.6590
-1.1125 -1.2428 -2.9916
4.6251 -4.9634 0.3419
```

=====

Entry 2:
## Dy3ZnCu3 (PBE-GGA)

Data for a geometry-optimized Dy3ZnCu3 structure. Values from VASP.

Computed properties:
- Total magnetization: 0.00 μB per cell
- Density: 8.57 Mg/m³
- DFT total energy: -4.17 eV/atom
- DOS at the Fermi energy: 5.66 states/eV/f.u.

The structure in Quantum ESPRESSO input format:
```
&SYSTEM
  ibrav = 0, nat = 14, ntyp = 3
/
ATOMIC_SPECIES
Cu 63.55 Cu.upf
Dy 162.50 Dy.upf
Zn 65.41 Zn.upf
ATOMIC_POSITIONS angstrom
Cu 5.0658 3.6375 8.3807
Cu 5.6932 4.2715 4.2156
Dy 2.8802 1.6104 8.8860
Cu 0.5055 0.8205 10.6476
Dy 3.9485 3.6055 1.7943
Zn 2.8760 4.6190 8.9141
Cu 1.1329 1.4545 6.4825
Dy 4.6123 3.7636 11.3908
Cu 2.2340 4.4354 13.1762
Cu 3.9647 0.6566 1.6870
Zn 3.3227 0.4729 5.9491
Dy 2.2502 1.4865 13.0689
Dy 3.3184 3.4816 5.9772
Dy 1.5863 1.3284 3.4724
CELL_PARAMETERS angstrom
4.1252 0.0000 0.6214
2.0353 5.0840 0.4920
0.0382 0.0080 13.7497
```

=====

Entry 3:
## BeI3Br (PBE-GGA)

Data for a geometry-optimized BeI3Br structure. Values from VASP.

Computed properties:
- Total magnetization: 0.72 μB per cell
- Density: 3.74 Mg/m³
- DOS at the Fermi energy: 2.29 states/eV/f.u.
- Energy above the most stable polymorph in this dataset: 688 meV per atom
- Uncorrected formation energy: 0.90 eV/atom

The structure in Quantum ESPRESSO input format:
```
&SYSTEM
  ibrav = 0, nat = 5, ntyp = 3
/
ATOMIC_SPECIES
I 126.90 I.upf
Be 9.01 Be.upf
Br 79.90 Br.upf
ATOMIC_POSITIONS angstrom
I 1.5696 -0.8905 2.3516
I 2.3618 -0.4293 -1.7390
Be 3.0684 -4.1143 0.1304
I -0.8630 -2.7945 -0.4822
Br 0.0000 0.0000 0.0000
CELL_PARAMETERS angstrom
-1.7260 -5.5890 -0.9644
4.7236 -0.8586 -3.4780
3.1392 -1.7810 4.7032
```